Entry from Alexandria: a relaxed structure of InTc2Pb (GGA-PBE).

Lattice parameters (Å, degrees): 3.1244 4.3387 6.0252 90.00 101.87 90.00
Positions (direct):
In (0.0000, 0.0000, 0.0000)
Tc (0.4029, 0.5000, 0.8007)
Tc (0.5971, 0.5000, 0.1993)
Pb (0.5000, 0.0000, 0.5000)

Output
**Energy of formation from the pure elements**: 589 meV per atom
**D(E_F)**: 4.7 states/eV/f.u.
**Space-group type**: No. 10